# 1
PrEr5Tm | GGA-PBE | optimized geometry

Lattice parameters (Å, degrees): 7.883 7.883 7.883 137.28 113.92 81.94
Sites, in units of the cell vectors:
Pr (0.000, 0.000, 0.000)
Er (0.000, 0.500, 0.500)
Er (0.245, 0.245, 0.000)
Er (0.324, 0.000, 0.324)
Er (0.676, 0.000, 0.676)
Er (0.755, 0.755, 0.000)
Tm (0.500, 0.500, 0.000)

Its density of states at the Fermi level is 7.4 states/eV/f.u. For the energy above the most stable polymorph in this dataset, the calculation gives 1012 meV/atom. For the total energy, the calculation gives -3.4630 eV per atom. Its space group is Immm (71).

***

# 2
Pr3ErTm7 | GGA-PBE | optimized geometry

Lattice parameters (Å, degrees): 7.016 7.016 8.647 90.00 90.00 120.00
Sites, in units of the cell vectors:
Pr (0.000, 0.500, 0.000)
Pr (0.500, 0.000, 0.000)
Pr (0.500, 0.500, 0.000)
Er (0.333, 0.667, 0.340)
Tm (0.167, 0.335, 0.660)
Tm (0.167, 0.833, 0.660)
Tm (0.335, 0.167, 0.340)
Tm (0.665, 0.833, 0.660)
Tm (0.667, 0.333, 0.660)
Tm (0.833, 0.167, 0.340)
Tm (0.833, 0.665, 0.340)

Its density of states at the Fermi level is 16.6 states/eV/f.u. For the energy above the most stable polymorph in this dataset, the calculation gives 50 meV/atom. For the total energy, the calculation gives -4.3879 eV per atom. Its space group is P3m1 (156).

***

# 3
PrEr4Tm5 | GGA-PBE | optimized geometry

Lattice parameters (Å, degrees): 7.799 7.799 7.799 99.29 99.29 132.62
Sites, in units of the cell vectors:
Pr (0.000, 0.000, 0.000)
Er (0.178, 0.880, 0.598)
Er (0.282, 0.580, 0.402)
Er (0.580, 0.178, 0.298)
Er (0.880, 0.282, 0.702)
Tm (0.457, 0.457, 0.000)
Tm (0.490, 0.868, 0.908)
Tm (0.583, 0.490, 0.623)
Tm (0.868, 0.960, 0.377)
Tm (0.960, 0.583, 0.092)

Its density of states at the Fermi level is 13.5 states/eV/f.u. For the energy above the most stable polymorph in this dataset, the calculation gives 247 meV/atom. For the total energy, the calculation gives -4.2274 eV per atom. Its space group is I4 (79).

***

# 4
PrEr4Tm6 | GGA-PBE | optimized geometry

Lattice parameters (Å, degrees): 5.567 5.567 25.412 90.00 90.00 119.80
Sites, in units of the cell vectors:
Pr (0.169, 0.831, 0.750)
Pr (0.831, 0.169, 0.250)
Er (0.166, 0.834, 0.041)
Er (0.166, 0.834, 0.459)
Er (0.496, 0.504, 0.121)
Er (0.496, 0.504, 0.379)
Er (0.504, 0.496, 0.621)
Er (0.504, 0.496, 0.879)
Er (0.834, 0.166, 0.541)
Er (0.834, 0.166, 0.959)
Tm (0.163, 0.837, 0.180)
Tm (0.163, 0.837, 0.320)
Tm (0.170, 0.830, 0.601)
Tm (0.170, 0.830, 0.899)
Tm (0.497, 0.503, 0.250)
Tm (0.500, 0.500, 0.000)
Tm (0.500, 0.500, 0.500)
Tm (0.503, 0.497, 0.750)
Tm (0.830, 0.170, 0.101)
Tm (0.830, 0.170, 0.399)
Tm (0.837, 0.163, 0.680)
Tm (0.837, 0.163, 0.820)

Its density of states at the Fermi level is 18.5 states/eV/f.u. For the energy above the most stable polymorph in this dataset, the calculation gives 0 meV/atom. For the total energy, the calculation gives -4.4118 eV per atom. Its space group is Cmcm (63).

***

# 5
Pr3Er7Tm | GGA-PBE | optimized geometry

Lattice parameters (Å, degrees): 6.487 6.684 8.578 99.60 98.20 95.27
Sites, in units of the cell vectors:
Pr (0.000, 0.000, 0.000)
Pr (0.196, 0.562, 0.166)
Pr (0.804, 0.438, 0.834)
Er (0.012, 0.769, 0.578)
Er (0.282, 0.274, 0.787)
Er (0.437, 0.791, 0.854)
Er (0.500, 0.500, 0.500)
Er (0.563, 0.209, 0.146)
Er (0.718, 0.726, 0.213)
Er (0.988, 0.231, 0.422)
Tm (0.500, 0.000, 0.500)

Its density of states at the Fermi level is 17.5 states/eV/f.u. For the energy above the most stable polymorph in this dataset, the calculation gives 0 meV/atom. For the total energy, the calculation gives -4.4883 eV per atom. Its space group is P-1 (2).

***

# 6
Pr8Er2Tm | GGA-PBE | optimized geometry

Lattice parameters (Å, degrees): 9.134 9.134 6.741 99.66 99.66 44.14
Sites, in units of the cell vectors:
Pr (0.097, 0.097, 0.918)
Pr (0.153, 0.676, 0.597)
Pr (0.255, 0.255, 0.676)
Pr (0.324, 0.847, 0.403)
Pr (0.676, 0.153, 0.597)
Pr (0.745, 0.745, 0.324)
Pr (0.847, 0.324, 0.403)
Pr (0.903, 0.903, 0.082)
Er (0.307, 0.307, 0.191)
Er (0.693, 0.693, 0.809)
Tm (0.500, 0.500, 0.000)

Its density of states at the Fermi level is 17.7 states/eV/f.u. For the energy above the most stable polymorph in this dataset, the calculation gives 58 meV/atom. For the total energy, the calculation gives -4.5425 eV per atom. Its space group is C2/m (12).

***

# 7
Pr2Er2Tm5 | GGA-PBE | optimized geometry

Lattice parameters (Å, degrees): 10.907 10.907 8.165 99.94 99.94 18.28
Sites, in units of the cell vectors:
Pr (0.181, 0.181, 0.142)
Pr (0.819, 0.819, 0.858)
Er (0.454, 0.454, 0.645)
Er (0.546, 0.546, 0.355)
Tm (0.000, 0.000, 0.000)
Tm (0.095, 0.095, 0.729)
Tm (0.309, 0.309, 0.468)
Tm (0.691, 0.691, 0.532)
Tm (0.905, 0.905, 0.271)

Its density of states at the Fermi level is 13.2 states/eV/f.u. For the energy above the most stable polymorph in this dataset, the calculation gives 7 meV/atom. For the total energy, the calculation gives -4.3371 eV per atom. Its space group is C2/m (12).

***

# 8
Pr4ErTm2 | GGA-PBE | optimized geometry

Lattice parameters (Å, degrees): 12.618 6.826 13.597 67.10 29.89 83.01
Sites, in units of the cell vectors:
Pr (0.018, 0.982, 0.122)
Pr (0.128, 0.372, 0.232)
Pr (0.372, 0.128, 0.268)
Pr (0.458, 0.605, 0.254)
Pr (0.567, 0.996, 0.645)
Pr (0.605, 0.458, 0.683)
Pr (0.982, 0.018, 0.878)
Pr (0.996, 0.567, 0.792)
Er (0.497, 0.497, 0.503)
Er (0.747, 0.747, 0.753)
Tm (0.065, 0.546, 0.002)
Tm (0.248, 0.863, 0.185)
Tm (0.546, 0.065, 0.387)
Tm (0.863, 0.248, 0.704)

Its density of states at the Fermi level is 10.0 states/eV/f.u. For the energy above the most stable polymorph in this dataset, the calculation gives 0 meV/atom. For the total energy, the calculation gives -4.5979 eV per atom. Its space group is Fdd2 (43).

***

# 9
Pr2Er3Tm6 | GGA-PBE | optimized geometry

Lattice parameters (Å, degrees): 16.816 16.816 16.816 163.93 163.93 22.80
Sites, in units of the cell vectors:
Pr (0.047, 0.047, 0.000)
Pr (0.953, 0.953, 0.000)
Er (0.298, 0.298, 0.000)
Er (0.500, 0.500, 0.000)
Er (0.702, 0.702, 0.000)
Tm (0.123, 0.623, 0.500)
Tm (0.195, 0.195, 0.000)
Tm (0.377, 0.877, 0.500)
Tm (0.623, 0.123, 0.500)
Tm (0.805, 0.805, 0.000)
Tm (0.877, 0.377, 0.500)

Its density of states at the Fermi level is 16.6 states/eV/f.u. For the energy above the most stable polymorph in this dataset, the calculation gives 86 meV/atom. For the total energy, the calculation gives -4.2800 eV per atom. Its space group is I4/mmm (139).

***

# 10
Pr4ErTm2 | GGA-PBE | optimized geometry

Lattice parameters (Å, degrees): 9.035 9.035 9.035 135.01 101.23 95.62
Sites, in units of the cell vectors:
Pr (0.155, 0.151, 0.004)
Pr (0.240, 0.211, 0.471)
Pr (0.240, 0.769, 0.029)
Pr (0.353, 0.849, 0.504)
Pr (0.647, 0.151, 0.496)
Pr (0.760, 0.231, 0.971)
Pr (0.760, 0.789, 0.529)
Pr (0.845, 0.849, 0.996)
Er (0.500, 0.000, 0.000)
Er (0.500, 0.500, 0.500)
Tm (0.000, 0.500, 0.500)
Tm (0.033, 0.283, 0.750)
Tm (0.500, 0.500, 0.000)
Tm (0.967, 0.717, 0.250)

Its density of states at the Fermi level is 9.9 states/eV/f.u. For the energy above the most stable polymorph in this dataset, the calculation gives 190 meV/atom. For the total energy, the calculation gives -4.4075 eV per atom. Its space group is Imma (74).

***

# 11
Pr2Er6Tm3 | GGA-PBE | optimized geometry

Lattice parameters (Å, degrees): 16.853 16.853 16.853 163.94 163.94 22.78
Sites, in units of the cell vectors:
Pr (0.047, 0.047, 0.000)
Pr (0.953, 0.953, 0.000)
Er (0.123, 0.623, 0.500)
Er (0.196, 0.196, 0.000)
Er (0.377, 0.877, 0.500)
Er (0.623, 0.123, 0.500)
Er (0.804, 0.804, 0.000)
Er (0.877, 0.377, 0.500)
Tm (0.299, 0.299, 0.000)
Tm (0.500, 0.500, 0.000)
Tm (0.701, 0.701, 0.000)

Its density of states at the Fermi level is 16.3 states/eV/f.u. For the energy above the most stable polymorph in this dataset, the calculation gives 91 meV/atom. For the total energy, the calculation gives -4.3023 eV per atom. Its space group is I4/mmm (139).

***

# 12
Pr8Er2Tm3 | GGA-PBE | optimized geometry

Lattice parameters (Å, degrees): 10.909 10.909 5.747 90.01 90.01 41.71
Sites, in units of the cell vectors:
Pr (0.098, 0.691, 0.000)
Pr (0.175, 0.175, 0.500)
Pr (0.309, 0.902, 0.000)
Pr (0.371, 0.371, 0.500)
Pr (0.629, 0.629, 0.500)
Pr (0.691, 0.098, 0.000)
Pr (0.825, 0.825, 0.500)
Pr (0.902, 0.309, 0.000)
Er (0.261, 0.261, 0.001)
Er (0.739, 0.739, 0.999)
Tm (0.214, 0.786, 0.500)
Tm (0.500, 0.500, 0.000)
Tm (0.786, 0.214, 0.500)

Its density of states at the Fermi level is 17.6 states/eV/f.u. For the total energy, the calculation gives -4.4792 eV per atom. Its space group is C2/m (12).